No. 1
First-principles (meta-GGA SCAN) data for LiCu4Ag at its PBEsol-relaxed geometry, as listed in the Alexandria database.

Unit cell a=6.792 b=6.792 c=6.792 alpha=90.00 beta=90.00 gamma=90.00
Space group F-43m (No. 216)
Inequivalent atoms, fractional coordinates:
Li  0.000  0.000  0.000 (multiplicity 4)
Cu  0.125  0.125  0.375 (multiplicity 16)
Ag  0.250  0.250  0.750 (multiplicity 4)

Calculated values
Total moment   0.00 μB per atom
Energy relative to the elements   -0.017 eV/atom
Raw total energy   -15.776 eV/atom
Mass density   7.8 g cm⁻³


No. 2
First-principles (meta-GGA SCAN) data for Dy2CdPd2 at its PBEsol-relaxed geometry, as listed in the Alexandria database.

Unit cell a=7.566 b=7.566 c=3.665 alpha=90.00 beta=90.00 gamma=90.00
Space group P4/mbm (No. 127)
Inequivalent atoms, fractional coordinates:
Dy  0.172  0.328  0.000 (multiplicity 4)
Cd  0.000  0.000  0.500 (multiplicity 2)
Pd  0.129  0.629  0.500 (multiplicity 4)

Calculated values
Total moment   0.00 μB per atom
Energy relative to the elements   -0.886 eV/atom
Raw total energy   -39.197 eV/atom
Mass density   10.3 g cm⁻³


No. 3
First-principles (meta-GGA SCAN) data for KCa2P at its PBEsol-relaxed geometry, as listed in the Alexandria database.

Unit cell a=4.2021 b=4.2021 c=31.9164 alpha=90.00 beta=90.00 gamma=120.00
Space group R-3m (No. 166, hexagonal axes)
Inequivalent atoms, fractional coordinates:
K  0.0000  0.0000  0.0000 (multiplicity 3)
Ca  0.0000  0.0000  0.2116 (multiplicity 6)
P  0.0000  0.0000  0.5000 (multiplicity 3)

Calculated values
Total moment   0.04 μB per atom
Energy relative to the elements   -0.709 eV/atom
Raw total energy   -10.222 eV/atom
Mass density   1.5 g cm⁻³


No. 4
First-principles (meta-GGA SCAN) data for SrGaCu2Re at its PBEsol-relaxed geometry, as listed in the Alexandria database.

Unit cell a=4.833 b=4.833 c=5.094 alpha=90.00 beta=90.00 gamma=90.00
Space group P4/mmm (No. 123)
Inequivalent atoms, fractional coordinates:
Sr  0.000  0.000  0.000 (multiplicity 1)
Ga  0.500  0.500  0.500 (multiplicity 1)
Cu  0.000  0.500  0.000 (multiplicity 2)
Re  0.000  0.000  0.500 (multiplicity 1)

Calculated values
Total moment   0.30 μB per atom
Energy relative to the elements   2.476 eV/atom
Raw total energy   -25.547 eV/atom
Mass density   6.6 g cm⁻³


Q: What is the raw total energy in the second record?
A: -39.197 eV/atom


Q: The lowest raw total energy belongs to which entry?
A: Dy2CdPd2


Q: The highest energy relative to the elements belongs to which entry?
A: SrGaCu2Re